No. 1
First-principles (PBE-GGA) data for a relaxed CdSeF2 crystal, as listed in Alexandria.

CIF file:
```
data_CdSeF2
_symmetry_space_group_name_H-M 'P 1'
_symmetry_Int_Tables_number 1
_cell_length_a 4.460
_cell_length_b 4.460
_cell_length_c 4.460
_cell_angle_alpha 60.00
_cell_angle_beta 60.00
_cell_angle_gamma 60.00
loop_
_symmetry_equiv_pos_as_xyz
'x,y,z'
loop_
_atom_site_label
_atom_site_fract_x
_atom_site_fract_y
_atom_site_fract_z
F1 0.250 0.250 0.250
F2 0.750 0.750 0.750
Se1 0.000 0.000 0.000
Cd1 0.500 0.500 0.500
```

Output
* total DFT energy (no corrections): -11.017 eV for the cell shown
* space group: No. 225
* DOS(E_F): 0.52 states/eV per cell
* ΔE_f (raw): -0.719 eV per atom



No. 2
First-principles (PBE-GGA) data for a relaxed PtAuSe2 crystal, as listed in Alexandria.

CIF file:
```
data_PtAuSe2
_symmetry_space_group_name_H-M 'P 1'
_symmetry_Int_Tables_number 1
_cell_length_a 4.613
_cell_length_b 4.613
_cell_length_c 3.569
_cell_angle_alpha 90.00
_cell_angle_beta 90.00
_cell_angle_gamma 102.98
loop_
_symmetry_equiv_pos_as_xyz
'x,y,z'
loop_
_atom_site_label
_atom_site_fract_x
_atom_site_fract_y
_atom_site_fract_z
Au1 0.500 0.000 0.500
Pt1 0.000 0.500 0.500
Se1 0.000 0.000 0.000
Se2 0.500 0.500 0.000
```

Output
* total DFT energy (no corrections): -14.812 eV for the cell shown
* space group: No. 65
* DOS(E_F): 2.50 states/eV per cell
* ΔE_f (raw): 0.369 eV per atom



No. 3
First-principles (PBE-GGA) data for a relaxed ZnCd3Pd12 crystal, as listed in Alexandria.

CIF file:
```
data_ZnCd3Pd12
_symmetry_space_group_name_H-M 'P 1'
_symmetry_Int_Tables_number 1
_cell_length_a 4.019
_cell_length_b 4.019
_cell_length_c 15.870
_cell_angle_alpha 90.00
_cell_angle_beta 90.00
_cell_angle_gamma 90.00
loop_
_symmetry_equiv_pos_as_xyz
'x,y,z'
loop_
_atom_site_label
_atom_site_fract_x
_atom_site_fract_y
_atom_site_fract_z
Zn1 0.000 0.000 0.000
Cd1 0.000 0.000 0.245
Cd2 0.000 0.000 0.500
Cd3 0.000 0.000 0.755
Pd1 0.500 0.500 0.000
Pd2 0.500 0.500 0.245
Pd3 0.500 0.500 0.500
Pd4 0.500 0.500 0.755
Pd5 0.500 0.000 0.117
Pd6 0.500 0.000 0.373
Pd7 0.500 0.000 0.627
Pd8 0.500 0.000 0.883
Pd9 0.000 0.500 0.117
Pd10 0.000 0.500 0.373
Pd11 0.000 0.500 0.627
Pd12 0.000 0.500 0.883
```

Output
* total DFT energy (no corrections): -70.269 eV for the cell shown
* space group: No. 123
* calculated formation energy: -23.7 kJ/mol of atoms
* DOS(E_F): 24.47 states/eV per cell



No. 4
First-principles (PBE-GGA) data for a relaxed NaSnPtO4 crystal, as listed in Alexandria.

CIF file:
```
data_NaSnPtO4
_symmetry_space_group_name_H-M 'P 1'
_symmetry_Int_Tables_number 1
_cell_length_a 6.369
_cell_length_b 6.626
_cell_length_c 6.332
_cell_angle_alpha 118.54
_cell_angle_beta 90.00
_cell_angle_gamma 118.72
loop_
_symmetry_equiv_pos_as_xyz
'x,y,z'
loop_
_atom_site_label
_atom_site_fract_x
_atom_site_fract_y
_atom_site_fract_z
Na1 0.864 0.728 0.114
Na2 0.136 0.272 0.886
Sn1 0.500 0.000 0.500
Sn2 0.500 0.000 0.000
Pt1 0.500 0.500 0.500
Pt2 0.000 0.500 0.500
O1 0.720 0.440 0.678
O2 0.283 0.999 0.249
O3 0.716 0.999 0.249
O4 0.720 0.440 0.262
O5 0.280 0.560 0.738
O6 0.717 0.001 0.751
O7 0.284 0.001 0.751
O8 0.280 0.560 0.322
```

Output
* total DFT energy (no corrections): -78.681 eV for the cell shown
* space group: No. 74
* DOS(E_F): 1.14 states/eV per cell
* ΔE_f (raw): -1.164 eV per atom



No. 5
First-principles (PBE-GGA) data for a relaxed CaSi2Os crystal, as listed in Alexandria.

CIF file:
```
data_CaSi2Os
_symmetry_space_group_name_H-M 'P 1'
_symmetry_Int_Tables_number 1
_cell_length_a 4.109
_cell_length_b 4.109
_cell_length_c 5.870
_cell_angle_alpha 69.50
_cell_angle_beta 69.50
_cell_angle_gamma 60.04
loop_
_symmetry_equiv_pos_as_xyz
'x,y,z'
loop_
_atom_site_label
_atom_site_fract_x
_atom_site_fract_y
_atom_site_fract_z
Ca1 0.491 0.491 0.529
Os1 0.676 0.676 0.970
Si1 0.039 0.039 0.882
Si2 0.294 0.294 0.118
```

Output
* total DFT energy (no corrections): -25.511 eV for the cell shown
* space group: No. 160
* DOS(E_F): 2.43 states/eV per cell
* ΔE_f (raw): -0.358 eV per atom



No. 6
First-principles (PBE-GGA) data for a relaxed In2HgO crystal, as listed in Alexandria.

CIF file:
```
data_In2HgO
_symmetry_space_group_name_H-M 'P 1'
_symmetry_Int_Tables_number 1
_cell_length_a 6.844
_cell_length_b 6.844
_cell_length_c 6.235
_cell_angle_alpha 56.71
_cell_angle_beta 56.71
_cell_angle_gamma 90.00
loop_
_symmetry_equiv_pos_as_xyz
'x,y,z'
loop_
_atom_site_label
_atom_site_fract_x
_atom_site_fract_y
_atom_site_fract_z
Hg1 0.000 0.000 0.000
Hg2 0.750 0.250 0.500
O1 0.500 0.500 0.000
O2 0.250 0.750 0.500
In1 0.546 0.125 0.250
In2 0.204 0.625 0.250
In3 0.375 0.454 0.750
In4 0.875 0.796 0.750
```

Output
* total DFT energy (no corrections): -25.087 eV for the cell shown
* space group: No. 122
* DOS(E_F): 1.43 states/eV per cell
* ΔE_f (raw): -0.452 eV per atom



No. 7
First-principles (PBE-GGA) data for a relaxed Cs2Ag3Br6 crystal, as listed in Alexandria.

CIF file:
```
data_Cs2Ag3Br6
_symmetry_space_group_name_H-M 'P 1'
_symmetry_Int_Tables_number 1
_cell_length_a 4.827
_cell_length_b 9.811
_cell_length_c 9.811
_cell_angle_alpha 120.00
_cell_angle_beta 90.00
_cell_angle_gamma 90.00
loop_
_symmetry_equiv_pos_as_xyz
'x,y,z'
loop_
_atom_site_label
_atom_site_fract_x
_atom_site_fract_y
_atom_site_fract_z
Cs1 0.000 0.333 0.667
Cs2 0.000 0.667 0.333
Ag1 0.500 0.310 0.000
Ag2 0.500 0.000 0.310
Ag3 0.500 0.690 0.690
Br1 0.500 0.577 0.000
Br2 0.500 0.423 0.423
Br3 0.000 0.213 0.000
Br4 0.000 0.000 0.213
Br5 0.500 0.000 0.577
Br6 0.000 0.787 0.787
```

Output
* total DFT energy (no corrections): -28.867 eV for the cell shown
* space group: No. 189
* DOS(E_F): 6.74 states/eV per cell
* ΔE_f (raw): -0.779 eV per atom



No. 8
First-principles (PBE-GGA) data for a relaxed ZnNiOs2 crystal, as listed in Alexandria.

CIF file:
```
data_ZnNiOs2
_symmetry_space_group_name_H-M 'P 1'
_symmetry_Int_Tables_number 1
_cell_length_a 8.715
_cell_length_b 8.715
_cell_length_c 8.715
_cell_angle_alpha 17.91
_cell_angle_beta 17.91
_cell_angle_gamma 17.91
loop_
_symmetry_equiv_pos_as_xyz
'x,y,z'
loop_
_atom_site_label
_atom_site_fract_x
_atom_site_fract_y
_atom_site_fract_z
Ni1 0.750 0.750 0.750
Os1 0.002 0.002 0.002
Os2 0.252 0.252 0.252
Zn1 0.496 0.496 0.496
```

Output
* total DFT energy (no corrections): -29.078 eV for the cell shown
* space group: No. 160
* calculated formation energy: 10.5 kJ/mol of atoms
* DOS(E_F): 5.04 states/eV per cell



No. 9
First-principles (PBE-GGA) data for a relaxed Er7Co2Sn crystal, as listed in Alexandria.

CIF file:
```
data_Er7Co2Sn
_symmetry_space_group_name_H-M 'P 1'
_symmetry_Int_Tables_number 1
_cell_length_a 4.879
_cell_length_b 7.951
_cell_length_c 7.951
_cell_angle_alpha 112.67
_cell_angle_beta 90.00
_cell_angle_gamma 90.00
loop_
_symmetry_equiv_pos_as_xyz
'x,y,z'
loop_
_atom_site_label
_atom_site_fract_x
_atom_site_fract_y
_atom_site_fract_z
Er1 0.000 0.710 0.290
Er2 0.000 0.290 0.710
Er3 0.500 0.053 0.317
Er4 0.500 0.947 0.683
Er5 0.500 0.317 0.053
Er6 0.500 0.683 0.947
Er7 0.500 0.500 0.500
Co1 0.500 0.703 0.297
Co2 0.500 0.297 0.703
Sn1 0.000 0.000 0.000
```

Output
* total DFT energy (no corrections): -51.257 eV for the cell shown
* space group: No. 65
* calculated formation energy: -10.6 kJ/mol of atoms
* DOS(E_F): 7.95 states/eV per cell